Density functional theory data (GGA-PBE) for a relaxed Mn2AsPd2 crystal.

The structure in POSCAR format:
```
Mn2AsPd2
1.0
5.9210 0.0000 0.0000
0.0000 5.9210 0.0000
0.0000 0.0000 4.1407
Mn As Pd
4 2 4
Cartesian
0.7426 2.2179 0.0000
2.2179 5.1784 0.0000
3.7031 0.7426 0.0000
5.1784 3.7031 0.0000
0.0000 0.0000 0.0000
2.9605 2.9605 0.0000
0.9853 3.9458 2.0704
1.9752 0.9853 2.0704
3.9458 4.9357 2.0704
4.9357 1.9752 2.0704
```

## Properties
Its volume is 72.6 Å³/f.u. For the total magnetic moment, the calculation gives 2.949 μB per formula unit. As for the symmetry: No. 127. Its formation energy is 0.06 eV/atom.

---

Density functional theory data (GGA-PBE) for a relaxed MnPb2Br crystal.

The structure in POSCAR format:
```
MnPb2Br
1.0
0.0000 3.7917 3.7917
3.7917 0.0000 3.7917
3.7917 3.7917 0.0000
Mn Pb Br
1 2 1
Cartesian
0.0000 0.0000 0.0000
1.8958 1.8958 1.8958
3.7917 3.7917 3.7917
5.6875 5.6875 5.6875
```

## Properties
Its volume is 109.0 Å³/f.u. For the total magnetic moment, the calculation gives 4.520 μB per formula unit. The value obtained for the formation energy without anion corrections is 0.312 eV/atom. As for the symmetry: No. 216.

---

Density functional theory data (GGA-PBE) for a relaxed Y2Tm crystal.

The structure in POSCAR format:
```
Y2Tm
1.0
1.7894 1.0331 8.5286
-1.7894 1.0331 8.5286
0.0000 -2.0662 8.5286
Y Tm
2 1
Cartesian
0.0000 0.0000 0.0000
0.0000 0.0000 5.6314
0.0000 0.0000 19.8815
```

## Properties
Its volume is 94.6 Å³/f.u. For the total magnetic moment, the calculation gives 0.000 μB per formula unit. As for the symmetry: No. 160. Its formation energy is 0.00 eV/atom.

---

Density functional theory data (GGA-PBE) for a relaxed MnV6Mo5 crystal.

The structure in POSCAR format:
```
MnV6Mo5
1.0
-2.1505 3.0421 6.4722
2.1505 -3.0421 6.4722
2.1505 3.0421 -6.4722
Mn V Mo
1 6 5
Cartesian
0.0000 0.0000 0.0000
2.1505 -1.5369 4.3486
2.1505 1.4891 0.0000
0.0000 1.5051 2.1236
2.1505 1.5369 4.3486
0.0000 1.5530 6.4722
0.0000 4.5790 2.1236
2.1505 0.0000 2.1282
0.0000 0.0000 4.3157
0.0000 3.0421 0.0000
0.0000 0.0000 8.6287
0.0000 3.0421 4.3440
```

## Properties
Its volume is 169.4 Å³/f.u. For the total magnetic moment, the calculation gives 0.000 μB per formula unit. As for the symmetry: No. 71. Its formation energy is -0.14 eV/atom.

---

Density functional theory data (GGA-PBE) for a relaxed Ac3NiRhAu crystal.

The structure in POSCAR format:
```
Ac3NiRhAu
1.0
9.3013 0.0000 0.0000
0.0000 4.2370 0.0000
-2.4859 0.0000 9.0659
Ac Ni Rh Au
6 2 2 2
Cartesian
-0.1691 1.0592 3.2038
-0.3658 1.0592 9.0256
1.9780 3.1777 6.2119
4.8375 1.0592 2.8540
7.1813 3.1777 0.0403
6.9846 3.1777 5.8621
4.2460 3.1777 0.4959
2.5694 1.0592 8.5700
-0.1514 1.0592 6.1168
6.9669 3.1777 2.9491
2.3004 3.1777 2.5215
4.5151 1.0592 6.5445
```

## Properties
Its volume is 178.6 Å³/f.u. For the total magnetic moment, the calculation gives 0.000 μB per formula unit. As for the symmetry: No. 11. Its formation energy is -0.59 eV/atom.

---

Please write out number 3 again, unchanged.
Density functional theory data (GGA-PBE) for a relaxed Y2Tm crystal.

The structure in POSCAR format:
```
Y2Tm
1.0
1.7894 1.0331 8.5286
-1.7894 1.0331 8.5286
0.0000 -2.0662 8.5286
Y Tm
2 1
Cartesian
0.0000 0.0000 0.0000
0.0000 0.0000 5.6314
0.0000 0.0000 19.8815
```

## Properties
Its volume is 94.6 Å³/f.u. For the total magnetic moment, the calculation gives 0.000 μB per formula unit. As for the symmetry: No. 160. Its formation energy is 0.00 eV/atom.